[1]
DFT (PBE) results for CuP2W after structural relaxation.

Unit cell a=3.3471 b=3.3471 c=4.9502 alpha=90.00 beta=90.00 gamma=90.00
Atoms (fractional coordinates):
Cu1 0.0000 0.0000 0.0000
P1 0.0000 0.0000 0.5163
P2 0.5000 0.5000 0.8609
W1 0.5000 0.5000 0.3473

Crystal system: tetragonal
E_form, meV/atom: 27



[2]
DFT (PBE) results for Cu2PW after structural relaxation.

Unit cell a=3.2779 b=4.4123 c=7.7266 alpha=90.00 beta=90.00 gamma=90.00
Atoms (fractional coordinates):
Cu1 0.0000 0.0000 0.0000
Cu2 0.0000 0.5000 0.2413
Cu3 0.5000 0.0000 0.2413
Cu4 0.5000 0.5000 0.0000
P1 0.0000 0.0000 0.4929
P2 0.5000 0.5000 0.4929
W1 0.0000 0.5000 0.7281
W2 0.5000 0.0000 0.7281

Crystal system: orthorhombic
E_form, meV/atom: 314



[3]
DFT (PBE) results for CuPW2 after structural relaxation.

Unit cell a=2.8755 b=2.8755 c=24.4684 alpha=90.00 beta=90.00 gamma=120.00
Atoms (fractional coordinates):
Cu1 0.0000 0.0000 0.0000
Cu2 0.3333 0.6667 0.6667
Cu3 0.6667 0.3333 0.3333
P1 0.0000 0.0000 0.5000
P2 0.3333 0.6667 0.1667
P3 0.6667 0.3333 0.8333
W1 0.0000 0.0000 0.2443
W2 0.0000 0.0000 0.7557
W3 0.3333 0.6667 0.4223
W4 0.3333 0.6667 0.9110
W5 0.6667 0.3333 0.0890
W6 0.6667 0.3333 0.5777

Crystal system: trigonal
E_form, meV/atom: 312



[4]
DFT (PBE) results for Cu2PW after structural relaxation.

Unit cell a=6.8382 b=6.8382 c=4.7780 alpha=90.00 beta=90.00 gamma=90.00
Atoms (fractional coordinates):
Cu1 0.2126 0.7500 0.1250
Cu2 0.2500 0.2126 0.8750
Cu3 0.2500 0.2874 0.3750
Cu4 0.2874 0.7500 0.6250
Cu5 0.7126 0.2500 0.6250
Cu6 0.7500 0.7126 0.3750
Cu7 0.7500 0.7874 0.8750
Cu8 0.7874 0.2500 0.1250
P1 0.0000 0.0000 0.0000
P2 0.0000 0.5000 0.2500
P3 0.5000 0.0000 0.7500
P4 0.5000 0.5000 0.5000
W1 0.0000 0.0000 0.5000
W2 0.0000 0.5000 0.7500
W3 0.5000 0.0000 0.2500
W4 0.5000 0.5000 0.0000

Crystal system: tetragonal
E_form, meV/atom: 339



[5]
DFT (PBE) results for CuPW2 after structural relaxation.

Unit cell a=2.8835 b=2.8835 c=25.0812 alpha=90.00 beta=90.00 gamma=120.00
Atoms (fractional coordinates):
Cu1 0.0000 0.0000 0.0000
Cu2 0.3333 0.6667 0.6667
Cu3 0.6667 0.3333 0.3333
P1 0.0000 0.0000 0.7477
P2 0.3333 0.6667 0.4144
P3 0.6667 0.3333 0.0811
W1 0.0000 0.0000 0.2455
W2 0.0000 0.0000 0.4853
W3 0.3333 0.6667 0.1520
W4 0.3333 0.6667 0.9122
W5 0.6667 0.3333 0.5788
W6 0.6667 0.3333 0.8187

Crystal system: trigonal
E_form, meV/atom: 275



[6]
DFT (PBE) results for CuPW after structural relaxation.

Unit cell a=3.1813 b=4.6136 c=11.9648 alpha=90.00 beta=90.00 gamma=90.00
Atoms (fractional coordinates):
Cu1 0.0000 0.0000 0.0000
Cu2 0.0000 0.5000 0.5000
Cu3 0.5000 0.0000 0.5000
Cu4 0.5000 0.5000 0.0000
P1 0.0000 0.0000 0.6652
P2 0.0000 0.5000 0.1652
P3 0.5000 0.0000 0.1652
P4 0.5000 0.5000 0.6652
W1 0.0000 0.0000 0.3175
W2 0.0000 0.5000 0.8175
W3 0.5000 0.0000 0.8175
W4 0.5000 0.5000 0.3175

Crystal system: orthorhombic
E_form, meV/atom: 392



no.,DOS(E_F) (states/eV per cell)
1,1.55
2,3.81
3,11.19
4,11.83
5,2.67
6,6.46